[1]
Computed, not measured: a relaxed structure of NaLa2Ge3Pd4 at the PBE level of DFT.

Cell lengths 4.3621, 4.3621, 10.6799 Å; angles 90.00, 90.00, 90.00 degrees
Space group P-4m2 (No. 115)
Inequivalent atoms, fractional coordinates:
Na (0.0000, 0.0000, 0.0000)
La (0.0000, 0.5000, 0.7396)
Ge (0.0000, 0.5000, 0.3749)
Ge (0.5000, 0.5000, 0.0000)
Pd (0.0000, 0.0000, 0.5000)
Pd (0.0000, 0.5000, 0.1425)
Pd (0.5000, 0.5000, 0.5000)

Output
E_form in eV/atom: -0.74
V in A^3/atom: 20.32



[2]
Computed, not measured: a relaxed structure of Mg2OsPd2 at the PBE level of DFT.

Cell lengths 7.4855, 7.4855, 2.8269 Å; angles 90.00, 90.00, 90.00 degrees
Space group P4/mbm (No. 127)
Inequivalent atoms, fractional coordinates:
Mg (0.1664, 0.3336, 0.0000)
Os (0.0000, 0.0000, 0.5000)
Pd (0.1337, 0.6337, 0.5000)

Output
E_form in eV/atom: -0.01
V in A^3/atom: 15.84



The highest V belongs to which entry?
NaLa2Ge3Pd4



What is the V in the first record?
20.32 A^3/atom